First-principles (PBE-GGA) data for ScGaCu5 after structural relaxation, as listed in the Alexandria database.

a = 4.9293 Å, b = 7.9273 Å, c = 10.0456 Å
α = 90.00°, β = 90.00°, γ = 90.00°
Element x y z (fractional)
Cu (0.0063, 0.0642, 0.6943)
Cu (0.9937, 0.4358, 0.1943)
Cu (0.2500, 0.6859, 0.2540)
Cu (0.7500, 0.3141, 0.7460)
Cu (0.5063, 0.4358, 0.1943)
Cu (0.2500, 0.4390, 0.4151)
Cu (0.7500, 0.9056, 0.5172)
Cu (0.0063, 0.5642, 0.8057)
Cu (0.7500, 0.8141, 0.7540)
Cu (0.2500, 0.9390, 0.0849)
Cu (0.4937, 0.5642, 0.8057)
Cu (0.9937, 0.9358, 0.3057)
Cu (0.7500, 0.4056, 0.9828)
Cu (0.5063, 0.9358, 0.3057)
Cu (0.7500, 0.5611, 0.5849)
Cu (0.2500, 0.1859, 0.2460)
Cu (0.2500, 0.5944, 0.0172)
Cu (0.7500, 0.0610, 0.9151)
Cu (0.4937, 0.0642, 0.6943)
Cu (0.2500, 0.0944, 0.4828)
Sc (0.7500, 0.2544, 0.4365)
Sc (0.2500, 0.7456, 0.5635)
Sc (0.7500, 0.7544, 0.0635)
Sc (0.2500, 0.2456, 0.9365)
Ga (0.7500, 0.1449, 0.1472)
Ga (0.2500, 0.8551, 0.8528)
Ga (0.7500, 0.6449, 0.3528)
Ga (0.2500, 0.3551, 0.6472)

Properties
Total magnetization ... 0.000 μB per atom
ΔH_f (0 K) ... -0.201 eV per atom
Calculated total energy ... -4.463 eV/atom